Entry 1:
PBE Nd3Ho4Cd4, relaxed; crystal system = orthorhombic; energy of formation = -115 meV per atom
1.0
5.319 0.000 0.000
0.000 7.271 0.000
-2.660 -3.635 8.493
Ho Nd Cd
4 3 4
Cartesian
2.660 1.950 3.064 Ho
2.660 5.321 3.064 Ho
0.000 -1.685 5.429 Ho
0.000 1.685 5.429 Ho
0.000 3.635 0.000 Nd
0.000 0.000 1.817 Nd
2.660 3.635 6.676 Nd
2.660 0.000 5.353 Cd
2.660 1.466 0.000 Cd
0.000 3.635 3.140 Cd
2.660 5.805 0.000 Cd

Entry 2:
PBE Ca2TiBeSb, relaxed; E = -0.233 Ry/atom; crystal system = tetragonal
1.0
-2.748 2.716 4.357
2.204 -3.200 3.384
4.489 3.669 0.544
Ca Be Sb Ti
2 1 1 1
Cartesian
-1.374 1.358 2.179 Ca
2.245 1.834 0.272 Ca
1.973 1.592 4.143 Be
1.102 -1.600 1.692 Sb
0.000 0.000 0.000 Ti

Entry 3:
PBE CdRh2C, relaxed; distance to the lowest polymorph of the same formula = 1100 meV/atom; crystal system = cubic; energy of formation = 1203 meV per atom
1.0
0.000 3.040 3.040
3.040 0.000 3.040
3.040 3.040 0.000
Rh C Cd
2 1 1
Cartesian
1.520 1.520 1.520 Rh
4.560 4.560 4.560 Rh
0.000 0.000 0.000 C
3.040 3.040 3.040 Cd

Entry 4:
PBE BeTl2CrAu, relaxed; crystal system = tetragonal; energy of formation = 1057 meV per atom
1.0
-0.697 3.511 -3.967
2.488 -3.067 -3.152
-4.599 -2.388 -1.305
Be Tl Cr Au
1 2 1 1
Cartesian
-1.404 -0.972 -4.212 Be
-0.349 1.756 -1.984 Tl
-2.299 -1.194 -0.653 Tl
0.000 0.000 0.000 Cr
1.244 -1.534 -1.576 Au

Entry 5:
PBE YTaIr, relaxed; distance to the lowest polymorph of the same formula = 57 meV/atom; crystal system = monoclinic; energy of formation = -521 meV per atom
1.0
7.119 0.000 -0.006
0.000 4.387 0.000
-6.612 0.000 8.202
Ta Y Ir
4 4 4
Cartesian
-3.915 0.000 5.543 Ta
4.422 0.000 2.654 Ta
1.116 2.194 6.755 Ta
-0.609 2.194 1.442 Ta
1.815 0.000 0.560 Y
1.998 2.194 3.536 Y
-1.491 2.194 4.661 Y
-1.308 0.000 7.637 Y
3.985 2.194 1.312 Ir
-0.171 0.000 2.784 Ir
-3.477 2.194 6.885 Ir
0.679 0.000 5.413 Ir

Entry 6:
PBE RuRhAu2, relaxed; distance to the lowest polymorph of the same formula = 302 meV/atom; crystal system = tetragonal; energy of formation = 451 meV per atom
1.0
4.789 0.000 0.000
0.000 4.789 0.000
0.000 0.000 2.832
Au Rh Ru
2 1 1
Cartesian
2.395 2.395 0.000 Au
0.000 0.000 0.000 Au
2.395 0.000 1.416 Rh
0.000 2.395 1.416 Ru